# 1
Here is an optimized crystal structure of Ce2SbH from Alexandria via LeMat-Bulk. Energies are from PBE.

energy relative to the lowest polymorph listed for this composition = 165 meV per atom
density of states at the Fermi level = 3.31 states/eV/atom

Cell: 4.0818 4.0818 20.3926 Å, 90.00 90.00 120.00°
Space group R-3m (No. 166, hexagonal axes)
Asymmetric unit:
Ce 0.0000 0.0000 0.2349 [6 per cell]
Sb 0.0000 0.0000 0.0000 [3 per cell]
H 0.0000 0.0000 0.5000 [3 per cell]

# 2
Here is an optimized crystal structure of Ce2SbH from Alexandria via LeMat-Bulk. Energies are from PBE.

energy relative to the lowest polymorph listed for this composition = 230 meV per atom
density of states at the Fermi level = 3.07 states/eV/atom

Cell: 3.787 13.193 7.380 Å, 90.00 90.00 90.00°
Space group Cmcm (No. 63)
Asymmetric unit:
Ce 0.000 0.140 0.013 [8 per cell]
Sb 0.000 0.489 0.250 [4 per cell]
H 0.000 0.268 0.750 [4 per cell]

no.,calculated total energy (eV/atom)
1,-5.324
2,-5.259